1.
Crystalline Pu4Ga12Tc at its relaxed geometry. Source: Alexandria, functional PBE.

Summary:
E_tot (eV/atom): -6.5075
Energy of formation from the pure elements (meV/atom): -389
DOS at the Fermi energy (states/eV per cell): 38.27

Cell and atoms, written as CIF:
```
data_Pu4Ga12Tc
_symmetry_space_group_name_H-M 'P 1'
_symmetry_Int_Tables_number 1
_cell_length_a 7.503
_cell_length_b 7.503
_cell_length_c 7.503
_cell_angle_alpha 109.47
_cell_angle_beta 109.47
_cell_angle_gamma 109.47
loop_
_symmetry_equiv_pos_as_xyz
'x,y,z'
loop_
_atom_site_label
_atom_site_type_symbol
_atom_site_fract_x
_atom_site_fract_y
_atom_site_fract_z
_atom_site_occupancy
Pu1 Pu 0.000 0.000 0.500 1
Pu2 Pu 0.000 0.500 0.000 1
Pu3 Pu 0.500 0.000 0.000 1
Pu4 Pu 0.500 0.500 0.500 1
Ga1 Ga 0.000 0.288 0.288 1
Ga2 Ga 0.000 0.712 0.712 1
Ga3 Ga 0.250 0.500 0.750 1
Ga4 Ga 0.250 0.750 0.500 1
Ga5 Ga 0.288 0.000 0.288 1
Ga6 Ga 0.288 0.288 0.000 1
Ga7 Ga 0.500 0.250 0.750 1
Ga8 Ga 0.500 0.750 0.250 1
Ga9 Ga 0.712 0.000 0.712 1
Ga10 Ga 0.712 0.712 0.000 1
Ga11 Ga 0.750 0.250 0.500 1
Ga12 Ga 0.750 0.500 0.250 1
Tc1 Tc 0.000 0.000 0.000 1
```

---

2.
Crystalline Sr2Ni2Hg at its relaxed geometry. Source: Alexandria, functional PBE.

Summary:
E_tot (eV/atom): -3.0220
Energy of formation from the pure elements (meV/atom): 24
DOS at the Fermi energy (states/eV per cell): 5.78

Cell and atoms, written as CIF:
```
data_Sr2Ni2Hg
_symmetry_space_group_name_H-M 'P 1'
_symmetry_Int_Tables_number 1
_cell_length_a 9.930
_cell_length_b 9.930
_cell_length_c 9.930
_cell_angle_alpha 159.26
_cell_angle_beta 159.26
_cell_angle_gamma 29.50
loop_
_symmetry_equiv_pos_as_xyz
'x,y,z'
loop_
_atom_site_label
_atom_site_type_symbol
_atom_site_fract_x
_atom_site_fract_y
_atom_site_fract_z
_atom_site_occupancy
Sr1 Sr 0.124 0.124 0.000 1
Sr2 Sr 0.876 0.876 0.000 1
Ni1 Ni 0.250 0.750 0.500 1
Ni2 Ni 0.750 0.250 0.500 1
Hg1 Hg 0.500 0.500 0.000 1
```

---

Among the records above, which one has the lowest energy of formation from the pure elements?
Pu4Ga12Tc

---

DOS at the Fermi energy of number 1 (Pu4Ga12Tc)?
38.27 states/eV per cell

---

DOS at the Fermi energy of number 2 (Sr2Ni2Hg)?
5.78 states/eV per cell